Record 1
DFT (PBE-GGA) results for a relaxed structure of Rb2FeRhI6.

Computed properties:
As for the space-group type: I4/mmm (139). The value obtained for the total magnetization is 0.31 μB/atom. As for the uncorrected formation energy: -0.56 eV/atom.

abc: 7.966 7.966 7.966
angles: 119.94 119.94 90.10
Fractional coordinates of all 10 atoms:
1 Rb 0.250 0.750 0.500
2 Rb 0.750 0.250 0.500
3 Fe 0.000 0.000 0.000
4 Rh 0.500 0.500 0.000
5 I 0.253 0.253 0.000
6 I 0.253 0.253 0.505
7 I 0.253 0.747 0.000
8 I 0.747 0.253 0.000
9 I 0.747 0.747 0.000
10 I 0.747 0.747 0.495



Record 2
DFT (PBE-GGA) results for a relaxed structure of Gd3HoN.

Computed properties:
As for the space-group type: Pm-3m (221). The value obtained for the total magnetization is 4.53 μB/atom. As for the uncorrected formation energy: -0.51 eV/atom.

abc: 5.011 5.011 5.011
angles: 90.00 90.00 90.00
Fractional coordinates of all 5 atoms:
1 Gd 0.000 0.000 0.500
2 Gd 0.000 0.500 0.000
3 Gd 0.500 0.000 0.000
4 Ho 0.500 0.500 0.500
5 N 0.000 0.000 0.000



Record 3
DFT (PBE-GGA) results for a relaxed structure of Ac2EuY.

Computed properties:
The formation energy is 0.083 eV/atom. As for the space-group type: Fm-3m (225). The value obtained for the total magnetization is 1.87 μB/atom.

abc: 6.124 6.124 6.124
angles: 60.00 60.00 60.00
Fractional coordinates of all 4 atoms:
1 Ac 0.250 0.250 0.250
2 Ac 0.750 0.750 0.750
3 Eu 0.000 0.000 0.000
4 Y 0.500 0.500 0.500